No. 1
A relaxed TbErAl4 crystal. Source: Alexandria, functional PBE-GGA.

Cell lengths 5.5523, 5.5523, 5.5523 Å; angles 60.00, 60.00, 60.00 degrees
With the nearest neighbours (Å) after each atom.
Fractional coordinates of all 6 atoms:
Tb1 0.0000 0.0000 0.0000  12 Al 3.26, 4 Er 3.40
Er1 0.7500 0.7500 0.7500  12 Al 3.26, 4 Tb 3.40
Al1 0.3750 0.3750 0.3750  6 Al 2.78
Al2 0.3750 0.3750 0.8749  6 Al 2.78
Al3 0.3750 0.8749 0.3750  6 Al 2.78
Al4 0.8749 0.3750 0.3750  6 Al 2.78

The value obtained for the formation energy is -0.514 eV/atom. Its density of states at the Fermi level is 0.840 states/eV per atom.

No. 2
A relaxed TbEr7Al5 crystal. Source: Alexandria, functional PBE-GGA.

Cell lengths 7.9598, 7.9598, 7.9598 Å; angles 135.26, 100.48, 96.19 degrees
With the nearest neighbours (Å) after each atom.
Fractional coordinates of all 13 atoms:
Tb1 0.0000 0.0000 0.0000  8 Er 3.45-3.69, 6 Al 3.78-3.86
Er1 0.2010 0.5071 0.6939  5 Al 3.00-3.23, 1 Er 3.18
Er2 0.2420 0.7420 0.5000  4 Al 3.05, 6 Er 3.18-3.40
Er3 0.3467 0.3467 0.0000  4 Al 3.16, 3 Er 3.23-3.46
Er4 0.3595 0.0219 0.3377  5 Al 3.14-3.24, 4 Er 3.31-3.40, 1 Tb 3.45
Er5 0.6725 0.6725 0.0000  6 Al 3.05-3.22
Er6 0.6842 0.0219 0.6623  5 Al 3.14-3.24, 4 Er 3.31-3.40, 1 Tb 3.45
Er7 0.8133 0.5071 0.3061  5 Al 3.00-3.23, 1 Er 3.18
Al1 0.0093 0.0160 0.4881  3 Al 2.89-3.06, 7 Er 3.00-3.24
Al2 0.0093 0.5212 0.9933  3 Al 2.89-3.06, 7 Er 3.00-3.24
Al3 0.5279 0.0160 0.0067  3 Al 2.89-3.06, 7 Er 3.00-3.24
Al4 0.5279 0.5212 0.5119  3 Al 2.89-3.06, 7 Er 3.00-3.24
Al5 0.7754 0.2754 0.5000  4 Al 2.89, 6 Er 3.16-3.22

The value obtained for the formation energy is -0.228 eV/atom. Its density of states at the Fermi level is 0.892 states/eV per atom.

No. 3
A relaxed Tb2Er2Al3 crystal. Source: Alexandria, functional PBE-GGA.

Cell lengths 3.5407, 28.1165, 3.5333 Å; angles 90.00, 90.00, 90.00 degrees
With the nearest neighbours (Å) after each atom.
Fractional coordinates of all 14 atoms:
Tb1 0.0000 0.1929 0.0000  4 Al 3.09
Tb2 0.0000 0.8071 0.0000  4 Al 3.09
Tb3 0.5000 0.3071 0.0000  4 Al 3.09
Tb4 0.5000 0.6929 0.0000  4 Al 3.09
Er1 0.0000 0.0636 0.0000  8 Al 3.07-3.09
Er2 0.0000 0.9364 0.0000  8 Al 3.07-3.09
Er3 0.5000 0.4364 0.0000  8 Al 3.07-3.09
Er4 0.5000 0.5636 0.0000  8 Al 3.07-3.09
Al1 0.0000 0.3718 0.5000  4 Er 3.09, 4 Tb 3.09
Al2 0.0000 0.5000 0.5000  8 Er 3.07
Al3 0.0000 0.6282 0.5000  4 Er 3.09, 4 Tb 3.09
Al4 0.5000 0.0000 0.5000  8 Er 3.07
Al5 0.5000 0.1282 0.5000  4 Er 3.09, 4 Tb 3.09
Al6 0.5000 0.8718 0.5000  4 Er 3.09, 4 Tb 3.09

The value obtained for the formation energy is -0.286 eV/atom. Its density of states at the Fermi level is 0.565 states/eV per atom. The distance to the lowest polymorph of the same formula is 0.000 eV per atom.